[1]
# GGA-PBE Tb4ErTl3, optimized geometry
data_Tb4ErTl3
_chemical_formula_sum 'Tb8 Er2 Tl6'
_cell_length_a 3.598
_cell_length_b 8.878
_cell_length_c 14.948
_cell_angle_alpha 90.00
_cell_angle_beta 90.00
_cell_angle_gamma 90.00
_symmetry_space_group_name_H-M 'I m m m'
_symmetry_Int_Tables_number 71
_symmetry_space_group_name_Hall '-I 2 2'
loop_
_atom_site_label
_atom_site_fract_x
_atom_site_fract_y
_atom_site_fract_z
Tb1 0.000 0.199 0.137
Er1 0.000 0.500 0.000
Tl1 0.000 0.000 0.316
Tl2 0.000 0.500 0.500
# Theoretical density: 9.9 g/cm³
# DFT total energy: -3.913 eV per atom

---

[2]
# GGA-PBE Tb12Er5Tl2, optimized geometry
data_Tb12Er5Tl2
_chemical_formula_sum 'Tb24 Er10 Tl4'
_cell_length_a 15.336
_cell_length_b 9.292
_cell_length_c 8.340
_cell_angle_alpha 90.00
_cell_angle_beta 91.98
_cell_angle_gamma 90.00
_symmetry_space_group_name_H-M 'C 1 2/m 1'
_symmetry_Int_Tables_number 12
loop_
_symmetry_equiv_pos_as_xyz
'x,y,z'
'-x,-y,-z'
'-x,y,-z'
'x,-y,z'
'x+1/2,y+1/2,z'
'-x+1/2,-y+1/2,-z'
'-x+1/2,y+1/2,-z'
'x+1/2,-y+1/2,z'
loop_
_atom_site_label
_atom_site_fract_x
_atom_site_fract_y
_atom_site_fract_z
Tb1 0.053 0.000 0.320
Tb2 0.087 0.500 0.886
Tb3 0.124 0.196 0.653
Tb4 0.152 0.315 0.237
Er1 0.000 0.500 0.500
Er2 0.186 0.000 0.002
Er3 0.235 0.500 0.584
Tl1 0.000 0.188 0.000
# Theoretical density: 8.8 g/cm³
# DFT total energy: -4.350 eV per atom

---

[3]
# GGA-PBE Tb3ErTl, optimized geometry
data_Tb3ErTl
_chemical_formula_sum 'Tb12 Er4 Tl4'
_cell_length_a 4.819
_cell_length_b 25.281
_cell_length_c 4.810
_cell_angle_alpha 90.00
_cell_angle_beta 90.00
_cell_angle_gamma 90.00
_symmetry_space_group_name_H-M 'C m c m'
_symmetry_Int_Tables_number 63
_symmetry_space_group_name_Hall '-C 2c 2'
loop_
_atom_site_label
_atom_site_fract_x
_atom_site_fract_y
_atom_site_fract_z
Tb1 0.000 0.050 0.250
Tb2 0.000 0.250 0.250
Tb3 0.000 0.448 0.250
Er1 0.000 0.150 0.750
Tl1 0.000 0.348 0.750
# Theoretical density: 9.6 g/cm³
# DFT total energy: -4.289 eV per atom
# Polymorph energy (0 for the lowest one): 0.000 eV per atom

---

Question: Look up the theoretical density of the third one.
Answer: 9.6 g/cm³

---

Question: What is the theoretical density in the second record?
Answer: 8.8 g/cm³

---

Question: The lowest DFT total energy belongs to which entry?
Answer: Tb12Er5Tl2